Run i
# ThSc3 (PBE, relaxed)
# - Mass density: 5.78 Mg/m³
# - Crystal system: cubic
# - Total magnetic moment: 0.00 μB/f.u.
data_ThSc3
_chemical_formula_sum 'Th1 Sc3'
_cell_length_a 4.7228
_cell_length_b 4.7228
_cell_length_c 4.7228
_cell_angle_alpha 90.00
_cell_angle_beta 90.00
_cell_angle_gamma 90.00
_space_group_name_H-M_alt 'P m -3 m'
_space_group_IT_number 221
_space_group_name_Hall '-P 4 2 3'
loop_
_atom_site_label
_atom_site_type_symbol
_atom_site_fract_x
_atom_site_fract_y
_atom_site_fract_z
Th1 Th 0.0000 0.0000 0.0000
Sc1 Sc 0.0000 0.5000 0.5000

---

Run ii
# ThSc3 (PBE, relaxed)
# - Mass density: 5.72 Mg/m³
# - Crystal system: hexagonal
# - Total magnetic moment: 0.00 μB/f.u.
data_ThSc3
_chemical_formula_sum 'Th2 Sc6'
_cell_length_a 6.7386
_cell_length_b 6.7386
_cell_length_c 5.4128
_cell_angle_alpha 90.00
_cell_angle_beta 90.00
_cell_angle_gamma 120.00
_space_group_name_H-M_alt 'P 63/m m c'
_space_group_IT_number 194
_space_group_name_Hall '-P 6c 2c'
loop_
_atom_site_label
_atom_site_type_symbol
_atom_site_fract_x
_atom_site_fract_y
_atom_site_fract_z
Th1 Th 0.3333 0.6667 0.2500
Sc1 Sc 0.1639 0.3277 0.7500

---

Run iii
# ThSc3 (PBE, relaxed)
# - Mass density: 5.77 Mg/m³
# - Crystal system: cubic
# - Total magnetic moment: 0.00 μB/f.u.
data_ThSc3
_chemical_formula_sum 'Th4 Sc12'
_cell_length_a 7.5010
_cell_length_b 7.5010
_cell_length_c 7.5010
_cell_angle_alpha 90.00
_cell_angle_beta 90.00
_cell_angle_gamma 90.00
_space_group_name_H-M_alt 'F m -3 m'
_space_group_IT_number 225
_space_group_name_Hall '-F 4 2 3'
loop_
_atom_site_label
_atom_site_type_symbol
_atom_site_fract_x
_atom_site_fract_y
_atom_site_fract_z
Th1 Th 0.0000 0.0000 0.0000
Sc1 Sc 0.0000 0.0000 0.5000
Sc2 Sc 0.2500 0.2500 0.2500

---

run i comes first in stability; the runner-up is 23 meV/atom higher.

---

Run i
# ThSc3 (PBE, relaxed)
# - Mass density: 5.76 Mg/m³
# - Crystal system: orthorhombic
# - Total magnetic moment: 0.00 μB/f.u.
data_ThSc3
_chemical_formula_sum 'Th2 Sc6'
_cell_length_a 3.4515
_cell_length_b 10.6550
_cell_length_c 5.7551
_cell_angle_alpha 90.00
_cell_angle_beta 90.00
_cell_angle_gamma 90.00
_space_group_name_H-M_alt 'I m m 2'
_space_group_IT_number 44
loop_
_space_group_symop_operation_xyz
'x,y,z'
'-x,-y,z'
'-x,y,z'
'x,-y,z'
'x+1/2,y+1/2,z+1/2'
'-x+1/2,-y+1/2,z+1/2'
'-x+1/2,y+1/2,z+1/2'
'x+1/2,-y+1/2,z+1/2'
loop_
_atom_site_label
_atom_site_type_symbol
_atom_site_fract_x
_atom_site_fract_y
_atom_site_fract_z
Th1 Th 0.0000 0.0000 0.0000
Sc1 Sc 0.0000 0.2454 0.6332
Sc2 Sc 0.0000 0.5000 0.9786

---

Run ii
# ThSc3 (PBE, relaxed)
# - Mass density: 5.73 Mg/m³
# - Crystal system: orthorhombic
# - Total magnetic moment: 0.00 μB/f.u.
data_ThSc3
_chemical_formula_sum 'Th1 Sc3'
_cell_length_a 3.4644
_cell_length_b 5.4020
_cell_length_c 5.6779
_cell_angle_alpha 90.00
_cell_angle_beta 90.00
_cell_angle_gamma 90.00
_space_group_name_H-M_alt 'P m m 2'
_space_group_IT_number 25
loop_
_space_group_symop_operation_xyz
'x,y,z'
'-x,-y,z'
'-x,y,z'
'x,-y,z'
loop_
_atom_site_label
_atom_site_type_symbol
_atom_site_fract_x
_atom_site_fract_y
_atom_site_fract_z
Th1 Th 0.0000 0.0000 0.0000
Sc1 Sc 0.0000 0.5000 0.3622
Sc2 Sc 0.5000 0.0000 0.5133
Sc3 Sc 0.5000 0.5000 0.8661

---

Run iii
# ThSc3 (PBE, relaxed)
# - Mass density: 5.76 Mg/m³
# - Crystal system: tetragonal
# - Total magnetic moment: 0.00 μB/f.u.
data_ThSc3
_chemical_formula_sum 'Th2 Sc6'
_cell_length_a 4.8077
_cell_length_b 4.8077
_cell_length_c 9.1549
_cell_angle_alpha 90.00
_cell_angle_beta 90.00
_cell_angle_gamma 90.00
_space_group_name_H-M_alt 'I 4/m m m'
_space_group_IT_number 139
_space_group_name_Hall '-I 4 2'
loop_
_atom_site_label
_atom_site_type_symbol
_atom_site_fract_x
_atom_site_fract_y
_atom_site_fract_z
Th1 Th 0.0000 0.0000 0.0000
Sc1 Sc 0.0000 0.0000 0.5000
Sc2 Sc 0.0000 0.5000 0.2500

---

run i comes first in stability; the runner-up is 7 meV/atom higher.

---

Run i
# Th2Sc13 (PBE, relaxed)
# - Mass density: 4.43 Mg/m³
# - Crystal system: trigonal
# - Total magnetic moment: 0.00 μB/f.u.
data_Th2Sc13
_chemical_formula_sum 'Th6 Sc39'
_cell_length_a 6.4940
_cell_length_b 6.4940
_cell_length_c 32.2502
_cell_angle_alpha 90.00
_cell_angle_beta 90.00
_cell_angle_gamma 120.00
_space_group_name_H-M_alt 'R -3 m'
_space_group_IT_number 166
_space_group_name_Hall '-R 3 2"'
loop_
_atom_site_label
_atom_site_type_symbol
_atom_site_fract_x
_atom_site_fract_y
_atom_site_fract_z
Th1 Th 0.0000 0.0000 0.2062
Sc1 Sc 0.0000 0.0000 0.0000
Sc2 Sc 0.0028 0.5014 0.2112
Sc3 Sc 0.0040 0.5020 0.9563

---

Run ii
# Th2Sc13 (PBE, relaxed)
# - Mass density: 4.57 Mg/m³
# - Crystal system: triclinic
# - Total magnetic moment: 0.00 μB/f.u.
data_Th2Sc13
_chemical_formula_sum 'Th2 Sc13'
_cell_length_a 6.2942
_cell_length_b 8.1052
_cell_length_c 8.2623
_cell_angle_alpha 67.02
_cell_angle_beta 79.43
_cell_angle_gamma 83.06
_space_group_name_H-M_alt 'P -1'
_space_group_IT_number 2
loop_
_space_group_symop_operation_xyz
'x,y,z'
'-x,-y,-z'
loop_
_atom_site_label
_atom_site_type_symbol
_atom_site_fract_x
_atom_site_fract_y
_atom_site_fract_z
Th1 Th 0.1680 0.4290 0.3197
Sc1 Sc 0.0000 0.0000 0.5000
Sc2 Sc 0.0807 0.7110 0.9116
Sc3 Sc 0.1915 0.2282 0.7267
Sc4 Sc 0.2564 0.9412 0.1126
Sc5 Sc 0.3449 0.6584 0.5259
Sc6 Sc 0.4127 0.3648 0.9434
Sc7 Sc 0.4764 0.9142 0.6930

---

run ii comes first in stability; the runner-up is 127 meV/atom higher.

---

Run i
# Th2Sc5 (PBE, relaxed)
# - Mass density: 6.16 Mg/m³
# - Crystal system: trigonal
# - Total magnetic moment: 0.00 μB/f.u.
data_Th2Sc5
_chemical_formula_sum 'Th6 Sc15'
_cell_length_a 5.3211
_cell_length_b 5.3211
_cell_length_c 22.7212
_cell_angle_alpha 90.00
_cell_angle_beta 90.00
_cell_angle_gamma 120.00
_space_group_name_H-M_alt 'R -3 m'
_space_group_IT_number 166
_space_group_name_Hall '-R 3 2"'
loop_
_atom_site_label
_atom_site_type_symbol
_atom_site_fract_x
_atom_site_fract_y
_atom_site_fract_z
Th1 Th 0.0000 0.0000 0.2162
Sc1 Sc 0.0000 0.0000 0.0670
Sc2 Sc 0.0000 0.0000 0.3592
Sc3 Sc 0.0000 0.0000 0.5000

---

Run ii
# Th2Sc5 (PBE, relaxed)
# - Mass density: 6.07 Mg/m³
# - Crystal system: trigonal
# - Total magnetic moment: 0.00 μB/f.u.
data_Th2Sc5
_chemical_formula_sum 'Th6 Sc15'
_cell_length_a 5.3285
_cell_length_b 5.3285
_cell_length_c 22.9942
_cell_angle_alpha 90.00
_cell_angle_beta 90.00
_cell_angle_gamma 120.00
_space_group_name_H-M_alt 'R -3 m'
_space_group_IT_number 166
_space_group_name_Hall '-R 3 2"'
loop_
_atom_site_label
_atom_site_type_symbol
_atom_site_fract_x
_atom_site_fract_y
_atom_site_fract_z
Th1 Th 0.0000 0.0000 0.1348
Sc1 Sc 0.0000 0.0000 0.0000
Sc2 Sc 0.0000 0.0000 0.2842
Sc3 Sc 0.0000 0.0000 0.4220

---

run i comes first in stability; the runner-up is 84 meV/atom higher.

---

Run i
# Th2ScTl (PBE, relaxed)
# - Mass density: 9.47 Mg/m³
# - Crystal system: trigonal
# - Total magnetic moment: 0.00 μB/f.u.
data_Th2ScTl
_chemical_formula_sum 'Th6 Sc3 Tl3'
_cell_length_a 3.4366
_cell_length_b 3.4366
_cell_length_c 36.7057
_cell_angle_alpha 90.00
_cell_angle_beta 90.00
_cell_angle_gamma 120.00
_space_group_name_H-M_alt 'R -3 m'
_space_group_IT_number 166
_space_group_name_Hall '-R 3 2"'
loop_
_atom_site_label
_atom_site_type_symbol
_atom_site_fract_x
_atom_site_fract_y
_atom_site_fract_z
Th1 Th 0.0000 0.0000 0.0911
Sc1 Sc 0.0000 0.0000 0.5000
Tl1 Tl 0.0000 0.0000 0.0000

---

Run ii
# Th2ScTl (PBE, relaxed)
# - Mass density: 10.09 Mg/m³
# - Crystal system: cubic
# - Total magnetic moment: 0.08 μB/f.u.
data_Th2ScTl
_chemical_formula_sum 'Th8 Sc4 Tl4'
_cell_length_a 7.7742
_cell_length_b 7.7742
_cell_length_c 7.7742
_cell_angle_alpha 90.00
_cell_angle_beta 90.00
_cell_angle_gamma 90.00
_space_group_name_H-M_alt 'F m -3 m'
_space_group_IT_number 225
_space_group_name_Hall '-F 4 2 3'
loop_
_atom_site_label
_atom_site_type_symbol
_atom_site_fract_x
_atom_site_fract_y
_atom_site_fract_z
Th1 Th 0.2500 0.2500 0.2500
Sc1 Sc 0.0000 0.0000 0.0000
Tl1 Tl 0.0000 0.0000 0.5000

---

run ii comes first in stability; the runner-up is 84 meV/atom higher.

---

Run i
# ThScTl (PBE, relaxed)
# - Mass density: 9.62 Mg/m³
# - Crystal system: tetragonal
# - Total magnetic moment: 0.00 μB/f.u.
data_ThScTl
_chemical_formula_sum 'Th2 Sc2 Tl2'
_cell_length_a 3.5518
_cell_length_b 3.5518
_cell_length_c 13.1680
_cell_angle_alpha 90.00
_cell_angle_beta 90.00
_cell_angle_gamma 90.00
_space_group_name_H-M_alt 'I 4 m m'
_space_group_IT_number 107
_space_group_name_Hall 'I 4 -2'
loop_
_atom_site_label
_atom_site_type_symbol
_atom_site_fract_x
_atom_site_fract_y
_atom_site_fract_z
Th1 Th 0.0000 0.0000 0.0000
Sc1 Sc 0.0000 0.0000 0.3213
Tl1 Tl 0.0000 0.0000 0.6814

---

Run ii
# ThScTl (PBE, relaxed)
# - Mass density: 9.97 Mg/m³
# - Crystal system: hexagonal
# - Total magnetic moment: 0.00 μB/f.u.
data_ThScTl
_chemical_formula_sum 'Th2 Sc2 Tl2'
_cell_length_a 5.3117
_cell_length_b 5.3117
_cell_length_c 6.5650
_cell_angle_alpha 90.00
_cell_angle_beta 90.00
_cell_angle_gamma 120.00
_space_group_name_H-M_alt 'P 63/m m c'
_space_group_IT_number 194
_space_group_name_Hall '-P 6c 2c'
loop_
_atom_site_label
_atom_site_type_symbol
_atom_site_fract_x
_atom_site_fract_y
_atom_site_fract_z
Th1 Th 0.0000 0.0000 0.0000
Sc1 Sc 0.3333 0.6667 0.2500
Tl1 Tl 0.3333 0.6667 0.7500

---

run ii comes first in stability; the runner-up is 79 meV/atom higher.